A plane-wave DFT calculation with PBE was carried out for BaLaMnAg2 after structural relaxation.

Calculated density in g/cm³: 6.40
Formation enthalpy at 0 K in kJ/mol of formula units: 86
E in eV/atom: -4.1665
Polymorph energy (0 for the lowest one) in meV per atom: 0
SG: No. 123
V in Å³/atom: 28.40

POSCAR file:
```
BaLaMnAg2
1.0
5.381 0.000 0.000
0.000 5.381 0.000
0.000 0.000 4.904
Ba La Mn Ag
1 1 1 2
Direct
0.000 0.000 0.000 Ba
0.500 0.500 0.000 La
0.500 0.500 0.500 Mn
0.000 0.500 0.500 Ag
0.500 0.000 0.500 Ag
```